(1)
## AcGdGa4 (PBE)

Data for an optimized crystal structure of AcGdGa4.

Cell lengths 5.733, 5.733, 5.733 Å; angles 60.00, 60.00, 60.00 degrees
Fractional coordinates of all 6 atoms:
Ac (0.000, 0.000, 0.000)
Gd (0.750, 0.750, 0.750)
Ga (0.375, 0.375, 0.375)
Ga (0.375, 0.375, 0.874)
Ga (0.375, 0.874, 0.375)
Ga (0.874, 0.375, 0.375)

Computed properties:
density of states at the Fermi level: 0.791 states/eV/atom
ΔE_f: -0.483 eV per atom



(2)
## Nd2HoPb (PBE)

Data for an optimized crystal structure of Nd2HoPb.

Cell lengths 3.663, 3.663, 33.777 Å; angles 90.00, 90.00, 120.00 degrees
Fractional coordinates of all 12 atoms:
Nd (0.000, 0.000, 0.000)
Nd (0.000, 0.000, 0.171)
Nd (0.333, 0.667, 0.667)
Nd (0.333, 0.667, 0.837)
Nd (0.667, 0.333, 0.333)
Nd (0.667, 0.333, 0.504)
Ho (0.000, 0.000, 0.752)
Ho (0.333, 0.667, 0.419)
Ho (0.667, 0.333, 0.085)
Pb (0.000, 0.000, 0.586)
Pb (0.333, 0.667, 0.252)
Pb (0.667, 0.333, 0.919)

Computed properties:
E above lowest polymorph: 0.165 eV per atom
density of states at the Fermi level: 1.176 states/eV/atom
ΔE_f: -0.147 eV per atom



(3)
## Zr2FeCl (PBE)

Data for an optimized crystal structure of Zr2FeCl.

Cell lengths 6.571, 7.280, 3.063 Å; angles 90.00, 105.44, 90.00 degrees
Fractional coordinates of all 8 atoms:
Zr (0.250, 0.250, 0.000)
Zr (0.250, 0.750, 0.000)
Zr (0.750, 0.250, 0.000)
Zr (0.750, 0.750, 0.000)
Fe (0.000, 0.000, 0.500)
Fe (0.500, 0.500, 0.500)
Cl (0.000, 0.500, 0.500)
Cl (0.500, 0.000, 0.500)

Computed properties:
energy relative to the elements, uncorrected: -127 meV/atom
E above lowest polymorph: 0.378 eV per atom
density of states at the Fermi level: 1.090 states/eV/atom



(4)
## MgPaInPd (PBE)

Data for an optimized crystal structure of MgPaInPd.

Cell lengths 7.058, 7.058, 7.058 Å; angles 90.00, 90.00, 90.00 degrees
Fractional coordinates of all 16 atoms:
Mg (0.000, 0.000, 0.000)
Mg (0.000, 0.500, 0.500)
Mg (0.500, 0.000, 0.500)
Mg (0.500, 0.500, 0.000)
Pa (0.000, 0.000, 0.500)
Pa (0.000, 0.500, 0.000)
Pa (0.500, 0.000, 0.000)
Pa (0.500, 0.500, 0.500)
In (0.250, 0.250, 0.250)
In (0.250, 0.750, 0.750)
In (0.750, 0.250, 0.750)
In (0.750, 0.750, 0.250)
Pd (0.250, 0.250, 0.750)
Pd (0.250, 0.750, 0.250)
Pd (0.750, 0.250, 0.250)
Pd (0.750, 0.750, 0.750)

Computed properties:
density of states at the Fermi level: 1.082 states/eV/atom
ΔE_f: -0.207 eV per atom



(5)
## Nb2SnSe4 (PBE)

Data for an optimized crystal structure of Nb2SnSe4.

Cell lengths 6.333, 6.333, 13.049 Å; angles 90.00, 90.00, 142.04 degrees
Fractional coordinates of all 14 atoms:
Nb (0.106, 0.894, 0.557)
Nb (0.106, 0.894, 0.943)
Nb (0.894, 0.106, 0.057)
Nb (0.894, 0.106, 0.443)
Sn (0.361, 0.639, 0.750)
Sn (0.639, 0.361, 0.250)
Se (0.044, 0.956, 0.750)
Se (0.240, 0.760, 0.105)
Se (0.240, 0.760, 0.395)
Se (0.500, 0.500, 0.000)
Se (0.500, 0.500, 0.500)
Se (0.760, 0.240, 0.605)
Se (0.760, 0.240, 0.895)
Se (0.956, 0.044, 0.250)

Computed properties:
energy relative to the elements, uncorrected: -507 meV/atom
density of states at the Fermi level: 0.577 states/eV/atom



(6)
## TmHf2Pd8 (PBE)

Data for an optimized crystal structure of TmHf2Pd8.

Cell lengths 7.528, 7.528, 6.652 Å; angles 107.27, 107.27, 31.57 degrees
Fractional coordinates of all 11 atoms:
Tm (0.000, 0.000, 0.000)
Hf (0.279, 0.279, 0.333)
Hf (0.721, 0.721, 0.667)
Pd (0.101, 0.101, 0.458)
Pd (0.181, 0.181, 0.911)
Pd (0.355, 0.355, 0.801)
Pd (0.458, 0.458, 0.281)
Pd (0.542, 0.542, 0.719)
Pd (0.645, 0.645, 0.199)
Pd (0.819, 0.819, 0.089)
Pd (0.899, 0.899, 0.542)

Computed properties:
density of states at the Fermi level: 0.483 states/eV/atom
ΔE_f: -0.778 eV per atom



(7)
## RbTlSe2 (PBE)

Data for an optimized crystal structure of RbTlSe2.

Cell lengths 3.054, 25.902, 6.223 Å; angles 90.00, 90.00, 90.00 degrees
Fractional coordinates of all 16 atoms:
Rb (0.000, 0.182, 0.250)
Rb (0.000, 0.818, 0.750)
Rb (0.500, 0.318, 0.750)
Rb (0.500, 0.682, 0.250)
Tl (0.000, 0.438, 0.250)
Tl (0.000, 0.562, 0.750)
Tl (0.500, 0.062, 0.750)
Tl (0.500, 0.938, 0.250)
Se (0.000, 0.318, 0.250)
Se (0.000, 0.441, 0.750)
Se (0.000, 0.559, 0.250)
Se (0.000, 0.682, 0.750)
Se (0.500, 0.059, 0.250)
Se (0.500, 0.182, 0.750)
Se (0.500, 0.818, 0.250)
Se (0.500, 0.941, 0.750)

Computed properties:
energy relative to the elements, uncorrected: -377 meV/atom
E above lowest polymorph: 0.290 eV per atom
density of states at the Fermi level: 0.538 states/eV/atom



(8)
## V6MoRu5 (PBE)

Data for an optimized crystal structure of V6MoRu5.

Cell lengths 6.763, 6.763, 6.031 Å; angles 90.00, 90.00, 143.21 degrees
Fractional coordinates of all 12 atoms:
V (0.000, 0.000, 0.247)
V (0.000, 0.000, 0.753)
V (0.337, 0.663, 0.247)
V (0.337, 0.663, 0.753)
V (0.663, 0.337, 0.247)
V (0.663, 0.337, 0.753)
Mo (0.500, 0.500, 0.000)
Ru (0.169, 0.831, 0.500)
Ru (0.170, 0.830, 0.000)
Ru (0.500, 0.500, 0.500)
Ru (0.830, 0.170, 0.000)
Ru (0.831, 0.169, 0.500)

Computed properties:
density of states at the Fermi level: 1.243 states/eV/atom
ΔE_f: -0.257 eV per atom



(9)
## CaPuMg4 (PBE)

Data for an optimized crystal structure of CaPuMg4.

Cell lengths 6.134, 6.134, 6.134 Å; angles 60.00, 60.00, 60.00 degrees
Fractional coordinates of all 6 atoms:
Ca (0.000, 0.000, 0.000)
Pu (0.750, 0.750, 0.750)
Mg (0.375, 0.375, 0.375)
Mg (0.375, 0.375, 0.874)
Mg (0.375, 0.874, 0.375)
Mg (0.874, 0.375, 0.375)

Computed properties:
density of states at the Fermi level: 2.324 states/eV/atom
ΔE_f: 0.048 eV per atom



(10)
## Tl4BiH4 (PBE)

Data for an optimized crystal structure of Tl4BiH4.

Cell lengths 6.328, 6.328, 6.328 Å; angles 101.23, 101.23, 127.63 degrees
Fractional coordinates of all 9 atoms:
Tl (0.081, 0.295, 0.376)
Tl (0.295, 0.919, 0.214)
Tl (0.705, 0.081, 0.786)
Tl (0.919, 0.705, 0.624)
Bi (0.500, 0.500, 0.000)
H (0.249, 0.603, 0.852)
H (0.397, 0.249, 0.646)
H (0.603, 0.751, 0.354)
H (0.751, 0.397, 0.148)

Computed properties:
E: -2.629 eV per atom
density of states at the Fermi level: 0.191 states/eV/atom



(11)
## Ba2HoPt2O6 (PBE)

Data for an optimized crystal structure of Ba2HoPt2O6.

Cell lengths 6.920, 6.920, 6.920 Å; angles 53.27, 53.27, 53.27 degrees
Fractional coordinates of all 11 atoms:
Ba (0.216, 0.216, 0.216)
Ba (0.784, 0.784, 0.784)
Ho (0.000, 0.000, 0.000)
Pt (0.413, 0.413, 0.413)
Pt (0.587, 0.587, 0.587)
O (0.214, 0.761, 0.761)
O (0.239, 0.239, 0.786)
O (0.239, 0.786, 0.239)
O (0.761, 0.214, 0.761)
O (0.761, 0.761, 0.214)
O (0.786, 0.239, 0.239)

Computed properties:
energy relative to the elements, uncorrected: -1682 meV/atom
density of states at the Fermi level: 0.644 states/eV/atom



(12)
## LiTc3Os (PBE)

Data for an optimized crystal structure of LiTc3Os.

Cell lengths 4.737, 4.737, 4.737 Å; angles 90.00, 90.00, 90.00 degrees
Fractional coordinates of all 5 atoms:
Li (0.000, 0.000, 0.000)
Tc (0.000, 0.500, 0.500)
Tc (0.500, 0.000, 0.500)
Tc (0.500, 0.500, 0.000)
Os (0.500, 0.500, 0.500)

Computed properties:
E above lowest polymorph: 0.465 eV per atom
density of states at the Fermi level: 1.151 states/eV/atom
ΔE_f: 1.566 eV per atom



(13)
## BeCd2Si (PBE)

Data for an optimized crystal structure of BeCd2Si.

Cell lengths 2.928, 2.928, 28.417 Å; angles 90.00, 90.00, 120.00 degrees
Fractional coordinates of all 12 atoms:
Be (0.000, 0.000, 0.000)
Be (0.333, 0.667, 0.667)
Be (0.667, 0.333, 0.333)
Cd (0.000, 0.000, 0.261)
Cd (0.000, 0.000, 0.739)
Cd (0.333, 0.667, 0.405)
Cd (0.333, 0.667, 0.928)
Cd (0.667, 0.333, 0.072)
Cd (0.667, 0.333, 0.595)
Si (0.000, 0.000, 0.500)
Si (0.333, 0.667, 0.167)
Si (0.667, 0.333, 0.833)

Computed properties:
energy relative to the elements, uncorrected: 522 meV/atom
E above lowest polymorph: 0.238 eV per atom
density of states at the Fermi level: 0.347 states/eV/atom



(14)
## RbNaCa4 (PBE)

Data for an optimized crystal structure of RbNaCa4.

Cell lengths 7.566, 7.566, 7.566 Å; angles 60.00, 60.00, 60.00 degrees
Fractional coordinates of all 6 atoms:
Rb (0.000, 0.000, 0.000)
Na (0.750, 0.750, 0.750)
Ca (0.375, 0.375, 0.375)
Ca (0.375, 0.375, 0.874)
Ca (0.375, 0.874, 0.375)
Ca (0.874, 0.375, 0.375)

Computed properties:
density of states at the Fermi level: 0.627 states/eV/atom
ΔE_f: 0.202 eV per atom



(15)
## CeMgSiPd (PBE)

Data for an optimized crystal structure of CeMgSiPd.

Cell lengths 6.838, 6.838, 6.838 Å; angles 90.00, 90.00, 90.00 degrees
Fractional coordinates of all 16 atoms:
Ce (0.000, 0.000, 0.000)
Ce (0.000, 0.500, 0.500)
Ce (0.500, 0.000, 0.500)
Ce (0.500, 0.500, 0.000)
Mg (0.000, 0.000, 0.500)
Mg (0.000, 0.500, 0.000)
Mg (0.500, 0.000, 0.000)
Mg (0.500, 0.500, 0.500)
Si (0.250, 0.250, 0.250)
Si (0.250, 0.750, 0.750)
Si (0.750, 0.250, 0.750)
Si (0.750, 0.750, 0.250)
Pd (0.250, 0.250, 0.750)
Pd (0.250, 0.750, 0.250)
Pd (0.750, 0.250, 0.250)
Pd (0.750, 0.750, 0.750)

Computed properties:
energy relative to the elements, uncorrected: -513 meV/atom
density of states at the Fermi level: 1.110 states/eV/atom



(16)
## Pm2Si3RuPt4 (PBE)

Data for an optimized crystal structure of Pm2Si3RuPt4.

Cell lengths 4.210, 4.210, 10.254 Å; angles 90.00, 90.00, 90.00 degrees
Fractional coordinates of all 10 atoms:
Pm (0.000, 0.500, 0.249)
Pm (0.500, 0.000, 0.751)
Si (0.000, 0.000, 0.000)
Si (0.000, 0.500, 0.629)
Si (0.500, 0.000, 0.371)
Ru (0.500, 0.500, 0.000)
Pt (0.000, 0.000, 0.500)
Pt (0.000, 0.500, 0.859)
Pt (0.500, 0.000, 0.141)
Pt (0.500, 0.500, 0.500)

Computed properties:
energy relative to the elements, uncorrected: -884 meV/atom
density of states at the Fermi level: 0.915 states/eV/atom



(17)
## Rb4Tb (PBE)

Data for an optimized crystal structure of Rb4Tb.

Cell lengths 7.727, 7.727, 7.727 Å; angles 90.00, 90.00, 90.00 degrees
Fractional coordinates of all 5 atoms:
Rb (0.000, 0.000, 0.000)
Rb (0.000, 0.500, 0.500)
Rb (0.500, 0.000, 0.500)
Rb (0.500, 0.500, 0.000)
Tb (0.500, 0.500, 0.500)

Computed properties:
density of states at the Fermi level: 2.847 states/eV/atom
ΔE_f: 0.701 eV per atom



(18)
## InAgAs2 (PBE)

Data for an optimized crystal structure of InAgAs2.

Cell lengths 4.440, 4.440, 8.470 Å; angles 90.00, 90.00, 90.00 degrees
Fractional coordinates of all 8 atoms:
In (0.000, 0.000, 0.000)
In (0.500, 0.500, 0.500)
Ag (0.000, 0.500, 0.750)
Ag (0.500, 0.000, 0.250)
As (0.000, 0.000, 0.500)
As (0.000, 0.500, 0.250)
As (0.500, 0.000, 0.750)
As (0.500, 0.500, 0.000)

Computed properties:
density of states at the Fermi level: 0.425 states/eV/atom
ΔE_f: 0.268 eV per atom



(19)
## La3Dy2Mg (PBE)

Data for an optimized crystal structure of La3Dy2Mg.

Cell lengths 8.267, 8.267, 9.777 Å; angles 90.00, 90.00, 143.23 degrees
Fractional coordinates of all 12 atoms:
La (0.000, 0.000, 0.241)
La (0.000, 0.000, 0.759)
La (0.333, 0.667, 0.242)
La (0.333, 0.667, 0.758)
La (0.667, 0.333, 0.242)
La (0.667, 0.333, 0.758)
Dy (0.166, 0.834, 0.500)
Dy (0.500, 0.500, 0.000)
Dy (0.500, 0.500, 0.500)
Dy (0.834, 0.166, 0.500)
Mg (0.166, 0.834, 0.000)
Mg (0.834, 0.166, 0.000)

Computed properties:
density of states at the Fermi level: 1.511 states/eV/atom
ΔE_f: 0.011 eV per atom



(20)
## Pr12Nd5Y2 (PBE)

Data for an optimized crystal structure of Pr12Nd5Y2.

Cell lengths 9.541, 9.541, 8.147 Å; angles 92.28, 92.28, 68.32 degrees
Fractional coordinates of all 19 atoms:
Pr (0.052, 0.052, 0.209)
Pr (0.084, 0.539, 0.706)
Pr (0.118, 0.670, 0.111)
Pr (0.330, 0.882, 0.889)
Pr (0.363, 0.363, 0.392)
Pr (0.461, 0.916, 0.294)
Pr (0.539, 0.084, 0.706)
Pr (0.637, 0.637, 0.608)
Pr (0.670, 0.118, 0.111)
Pr (0.882, 0.330, 0.889)
Pr (0.916, 0.461, 0.294)
Pr (0.948, 0.948, 0.791)
Nd (0.154, 0.154, 0.585)
Nd (0.257, 0.257, 0.019)
Nd (0.500, 0.500, 0.000)
Nd (0.743, 0.743, 0.981)
Nd (0.846, 0.846, 0.415)
Y (0.241, 0.759, 0.500)
Y (0.759, 0.241, 0.500)

Computed properties:
E above lowest polymorph: 0.000 eV per atom
density of states at the Fermi level: 1.468 states/eV/atom
ΔE_f: 0.118 eV per atom